(1)
The following is a DFT calculation (PBE) of La3CdNi after structural relaxation.

Cell and atoms, written as POSCAR:
```
La3CdNi
1.0
5.458 0.000 0.000
0.000 5.458 0.000
0.000 0.000 5.458
La Cd Ni
3 1 1
direct
0.000 0.000 0.500 La
0.000 0.500 0.000 La
0.500 0.000 0.000 La
0.500 0.500 0.500 Cd
0.000 0.000 0.000 Ni
```

**Calculated formation energy**: -0.124 eV/atom
**Crystal system**: cubic
**Density of states at the Fermi level**: 9.40 states/eV per cell
**VASP energy**: -4.420 eV/atom
**Excess energy over the best structure of this formula in the dataset**: 3.01 kcal/mol of atoms
**Total moment**: 0.0 μB per cell
**Symmetry**: Pm-3m



(2)
The following is a DFT calculation (PBE) of LaCdNi10 after structural relaxation.

Cell and atoms, written as POSCAR:
```
LaCdNi10
1.0
4.014 0.000 0.000
0.000 4.864 0.000
0.000 0.000 8.442
La Cd Ni
1 1 10
direct
0.000 0.000 0.000 La
0.000 0.500 0.500 Cd
0.000 0.000 0.342 Ni
0.000 0.000 0.658 Ni
0.000 0.500 0.180 Ni
0.000 0.500 0.820 Ni
0.500 0.000 0.500 Ni
0.500 0.253 0.256 Ni
0.500 0.253 0.744 Ni
0.500 0.500 0.000 Ni
0.500 0.747 0.256 Ni
0.500 0.747 0.744 Ni
```

**Calculated formation energy**: -0.073 eV/atom
**Crystal system**: orthorhombic
**Density of states at the Fermi level**: 15.27 states/eV per cell
**VASP energy**: -5.377 eV/atom
**Total moment**: 3.9 μB per cell
**Symmetry**: Pmmm



(3)
The following is a DFT calculation (PBE) of LaCdNi5 after structural relaxation.

Cell and atoms, written as POSCAR:
```
LaCdNi5
1.0
8.230 0.000 0.000
0.000 4.934 0.000
0.000 0.000 10.460
La Cd Ni
4 4 20
direct
0.248 0.250 0.059 La
0.252 0.750 0.559 La
0.748 0.250 0.441 La
0.752 0.750 0.941 La
0.139 0.750 0.863 Cd
0.361 0.250 0.363 Cd
0.639 0.750 0.637 Cd
0.861 0.250 0.137 Cd
0.048 0.750 0.114 Ni
0.067 0.501 0.313 Ni
0.067 0.999 0.313 Ni
0.081 0.250 0.516 Ni
0.188 0.250 0.740 Ni
0.312 0.750 0.240 Ni
0.419 0.750 0.016 Ni
0.433 0.001 0.813 Ni
0.433 0.499 0.813 Ni
0.452 0.250 0.614 Ni
0.548 0.750 0.386 Ni
0.567 0.501 0.187 Ni
0.567 0.999 0.187 Ni
0.581 0.250 0.984 Ni
0.688 0.250 0.760 Ni
0.812 0.750 0.260 Ni
0.919 0.750 0.484 Ni
0.933 0.001 0.687 Ni
0.933 0.499 0.687 Ni
0.952 0.250 0.886 Ni
```

**Calculated formation energy**: -0.210 eV/atom
**Crystal system**: orthorhombic
**Density of states at the Fermi level**: 37.63 states/eV per cell
**VASP energy**: -5.174 eV/atom
**Total moment**: 2.0 μB per cell
**Symmetry**: Pnma



- Which value of total moment does entry 1 give?
  0.0 μB per cell



- Among the records above, which one has the highest VASP energy?
  La3CdNi